Below is a relaxed structure of CaIn2Pt, with properties calculated at the PBE level.

abc: 6.0638 6.0638 6.0638
angles: 146.14 129.62 62.09
Closest atoms and distances in Å follow each position.
Element x y z (fractional)
In1 0.9597 0.9597 0.0000  2 Pt 2.81
In2 0.5403 0.5403 0.0000  2 Pt 2.81
Pt1 0.7500 0.2500 0.5000  4 In 2.81, 4 Ca 3.13
Ca1 0.2500 0.7500 0.5000  4 Pt 3.13, 8 In 3.38-3.49

Formation energy from the elements   -2.0 eV per formula unit
Crystal system   orthorhombic
SG   No. 71
Energy   -3.87 eV per atom